1.
# GdTcC, optimized geometry, DFT PBE
# **ΔE to the lowest computed polymorph**: 273.2 meV/atom
# **Size of the total moment**: 14.24 Bohr magnetons per cell
# **Formation energy from the elements**: 0.8 eV/f.u.
# **Final energy**: -10.953 eV per atom
data_GdTcC
_chemical_formula_sum 'Gd2 Tc2 C2'
_symmetry_space_group_name_H-M 'I 4 m m'
_symmetry_Int_Tables_number 107
_symmetry_space_group_name_Hall 'I 4 -2'
_cell_length_a 2.9699
_cell_length_b 2.9699
_cell_length_c 9.9956
_cell_angle_alpha 90.00
_cell_angle_beta 90.00
_cell_angle_gamma 90.00
loop_
_atom_site_label
_atom_site_type_symbol
_atom_site_fract_x
_atom_site_fract_y
_atom_site_fract_z
_atom_site_occupancy
Gd1 Gd 0.0000 0.0000 0.0000 1
Tc1 Tc 0.0000 0.0000 0.2761 1
C1 C 0.0000 0.0000 0.7074 1

***

2.
# TlAgAs, optimized geometry, DFT PBE
# **ΔE to the lowest computed polymorph**: 112.6 meV/atom
# **Size of the total moment**: 0.00 Bohr magnetons per cell
# **Formation energy from the elements**: 0.6 eV/f.u.
# **Final energy**: -3.105 eV per atom
data_TlAgAs
_chemical_formula_sum 'Tl2 Ag2 As2'
_symmetry_space_group_name_H-M 'I 4 m m'
_symmetry_Int_Tables_number 107
_symmetry_space_group_name_Hall 'I 4 -2'
_cell_length_a 3.2412
_cell_length_b 3.2412
_cell_length_c 13.3378
_cell_angle_alpha 90.00
_cell_angle_beta 90.00
_cell_angle_gamma 90.00
loop_
_atom_site_label
_atom_site_type_symbol
_atom_site_fract_x
_atom_site_fract_y
_atom_site_fract_z
_atom_site_occupancy
Tl1 Tl 0.0000 0.0000 0.0000 1
Ag1 Ag 0.0000 0.0000 0.6837 1
As1 As 0.0000 0.0000 0.3012 1

***

3.
# Mg2TeOs, optimized geometry, DFT PBE
# **Size of the total moment**: 0.00 Bohr magnetons per cell
# **Final energy**: -4.139 eV per atom
data_Mg2TeOs
_chemical_formula_sum 'Mg4 Te2 Os2'
_symmetry_space_group_name_H-M 'I -4 m 2'
_symmetry_Int_Tables_number 119
_symmetry_space_group_name_Hall 'I -4 -2'
_cell_length_a 4.2758
_cell_length_b 4.2758
_cell_length_c 8.0751
_cell_angle_alpha 90.00
_cell_angle_beta 90.00
_cell_angle_gamma 90.00
loop_
_atom_site_label
_atom_site_type_symbol
_atom_site_fract_x
_atom_site_fract_y
_atom_site_fract_z
_atom_site_occupancy
Mg1 Mg 0.0000 0.0000 0.0000 1
Mg2 Mg 0.0000 0.5000 0.2500 1
Te1 Te 0.0000 0.0000 0.5000 1
Os1 Os 0.0000 0.5000 0.7500 1

***

4.
# SiBPN4, optimized geometry, DFT PBE
# **ΔE to the lowest computed polymorph**: 213.7 meV/atom
# **Size of the total moment**: 0.00 Bohr magnetons per cell
# **Final energy**: -7.874 eV per atom
data_SiBPN4
_chemical_formula_sum 'Si1 B1 P1 N4'
_symmetry_space_group_name_H-M 'P 1'
_symmetry_Int_Tables_number 1
_cell_length_a 4.4789
_cell_length_b 4.4850
_cell_length_c 4.5277
_cell_angle_alpha 103.28
_cell_angle_beta 103.66
_cell_angle_gamma 118.04
loop_
_symmetry_equiv_pos_as_xyz
'x,y,z'
loop_
_atom_site_label
_atom_site_type_symbol
_atom_site_fract_x
_atom_site_fract_y
_atom_site_fract_z
_atom_site_occupancy
Si1 Si 0.0000 0.0000 0.0000 1
B1 B 0.7640 0.4667 0.2629 1
P1 P 0.4813 0.7661 0.2853 1
N1 N 0.1032 0.7569 0.2197 1
N2 N 0.3930 0.3814 0.0235 1
N3 N 0.7167 0.7147 0.5890 1
N4 N 0.7650 0.1222 0.2178 1

***

5.
# LiLa2CoN, optimized geometry, DFT PBE
# **ΔE to the lowest computed polymorph**: 0.0 meV/atom
# **Size of the total moment**: 0.01 Bohr magnetons per cell
# **Final energy**: -5.901 eV per atom
data_LiLa2CoN
_chemical_formula_sum 'Li1 La2 Co1 N1'
_symmetry_space_group_name_H-M 'P 4/m m m'
_symmetry_Int_Tables_number 123
_symmetry_space_group_name_Hall '-P 4 2'
_cell_length_a 5.3106
_cell_length_b 5.3106
_cell_length_c 3.6134
_cell_angle_alpha 90.00
_cell_angle_beta 90.00
_cell_angle_gamma 90.00
loop_
_atom_site_label
_atom_site_type_symbol
_atom_site_fract_x
_atom_site_fract_y
_atom_site_fract_z
_atom_site_occupancy
Li1 Li 0.0000 0.0000 0.0000 1
La1 La 0.0000 0.5000 0.5000 1
Co1 Co 0.5000 0.5000 0.0000 1
N1 N 0.5000 0.5000 0.5000 1

***

6.
# Na2In10Pb, optimized geometry, DFT PBE
# **Size of the total moment**: 0.00 Bohr magnetons per cell
# **Formation energy from the elements**: 1.1 eV/f.u.
# **Final energy**: -2.512 eV per atom
data_Na2In10Pb
_chemical_formula_sum 'Na4 In20 Pb2'
_symmetry_space_group_name_H-M 'P b a m'
_symmetry_Int_Tables_number 55
_cell_length_a 11.3437
_cell_length_b 12.6846
_cell_length_c 6.3123
_cell_angle_alpha 90.00
_cell_angle_beta 90.00
_cell_angle_gamma 90.00
loop_
_symmetry_equiv_pos_as_xyz
'x,y,z'
'-x,-y,-z'
'-x,-y,z'
'x,y,-z'
'x+1/2,-y+1/2,-z'
'-x+1/2,y+1/2,z'
'-x+1/2,y+1/2,-z'
'x+1/2,-y+1/2,z'
loop_
_atom_site_label
_atom_site_type_symbol
_atom_site_fract_x
_atom_site_fract_y
_atom_site_fract_z
_atom_site_occupancy
Na1 Na 0.1093 0.1574 0.0000 1
In1 In 0.0362 0.8749 0.5000 1
In2 In 0.1120 0.6902 0.2298 1
In3 In 0.1745 0.3009 0.5000 1
In4 In 0.2217 0.0465 0.5000 1
Pb1 Pb 0.0000 0.5000 0.5000 1

***

7.
# Ce2CI, optimized geometry, DFT PBE
# **Size of the total moment**: 5.11 Bohr magnetons per cell
# **Final energy**: -6.285 eV per atom
data_Ce2CI
_chemical_formula_sum 'Ce6 C3 I3'
_symmetry_space_group_name_H-M 'R 3 m'
_symmetry_Int_Tables_number 160
_symmetry_space_group_name_Hall 'R 3 -2"'
_cell_length_a 3.7807
_cell_length_b 3.7807
_cell_length_c 23.5226
_cell_angle_alpha 90.00
_cell_angle_beta 90.00
_cell_angle_gamma 120.00
loop_
_atom_site_label
_atom_site_type_symbol
_atom_site_fract_x
_atom_site_fract_y
_atom_site_fract_z
_atom_site_occupancy
Ce1 Ce 0.0000 0.0000 0.0000 1
Ce2 Ce 0.0000 0.0000 0.2168 1
C1 C 0.0000 0.0000 0.6077 1
I1 I 0.0000 0.0000 0.4403 1

***

8.
# K6NaHg4, optimized geometry, DFT PBE
# **Size of the total moment**: 0.00 Bohr magnetons per cell
# **Formation energy from the elements**: -1.8 eV/f.u.
# **Final energy**: -0.991 eV per atom
data_K6NaHg4
_chemical_formula_sum 'K12 Na2 Hg8'
_symmetry_space_group_name_H-M 'P 63 m c'
_symmetry_Int_Tables_number 186
_symmetry_space_group_name_Hall 'P 6c -2c'
_cell_length_a 11.9376
_cell_length_b 11.9376
_cell_length_c 7.8053
_cell_angle_alpha 90.00
_cell_angle_beta 90.00
_cell_angle_gamma 120.00
loop_
_atom_site_label
_atom_site_type_symbol
_atom_site_fract_x
_atom_site_fract_y
_atom_site_fract_z
_atom_site_occupancy
K1 K 0.0364 0.5182 0.0000 1
K2 K 0.1342 0.2684 0.7165 1
Na1 Na 0.3333 0.6667 0.3652 1
Hg1 Hg 0.1899 0.3798 0.2579 1
Hg2 Hg 0.3333 0.6667 0.7626 1